Here is a geometry-optimized ScGaRu structure from Alexandria. Energies are from PBE.

It has space group P-6m2 (No. 187), with a = 4.3015 Å, b = 4.3015 Å, c = 3.2244 Å, α = 90.00°, β = 90.00° and γ = 120.00°. The distinct sites, in fractional coordinates, are Sc at (0.0000, 0.0000, 0.0000), Ga at (0.3333, 0.6667, 0.5000) and Ru at (0.6667, 0.3333, 0.5000).

The calculation puts the calculated volume at 17.22 A^3/atom. Its density of states at the Fermi level is 1.87 states/eV per cell. For the formation energy, the calculation gives -1.5 eV/f.u. Its size of the total moment is 0.000 μB/cell.

---

Here is a geometry-optimized Sc3Ga3Ru2 structure from Alexandria. Energies are from PBE.

It has space group Pnma (No. 62), with a = 6.883 Å, b = 15.689 Å, c = 5.393 Å, α = 90.00°, β = 90.00° and γ = 90.00°. The distinct sites, in fractional coordinates, are Sc at (0.039, 0.112, 0.116), Sc at (0.172, 0.250, 0.643), Ga at (0.172, 0.750, 0.640), Ga at (0.178, 0.026, 0.586) and Ru at (0.121, 0.617, 0.360).

The calculation puts the calculated volume at 18.20 A^3/atom. Its density of states at the Fermi level is 22.72 states/eV per cell. For the formation energy, the calculation gives -4.4 eV/f.u. Its size of the total moment is 0.000 μB/cell.

---

Here is a geometry-optimized ScGa2Ru2 structure from Alexandria. Energies are from PBE.

It has space group P4/mbm (No. 127), with a = 7.093 Å, b = 7.093 Å, c = 3.136 Å, α = 90.00°, β = 90.00° and γ = 90.00°. The distinct sites, in fractional coordinates, are Sc at (0.000, 0.000, 0.000), Ga at (0.149, 0.351, 0.500) and Ru at (0.148, 0.648, 0.000).

The calculation puts the calculated volume at 15.78 A^3/atom. Its density of states at the Fermi level is 4.08 states/eV per cell. For the formation energy, the calculation gives -2.2 eV/f.u. The value obtained for the energy above the most stable polymorph in this dataset is 66 meV/atom. Its size of the total moment is 0.000 μB/cell.

---

Here is a geometry-optimized ScGa2Ru structure from Alexandria. Energies are from PBE.

It has space group I-42d (No. 122), with a = 3.833 Å, b = 3.833 Å, c = 19.236 Å, α = 90.00°, β = 90.00° and γ = 90.00°. The distinct sites, in fractional coordinates, are Sc at (0.000, 0.000, 0.000), Ga at (0.231, 0.250, 0.625) and Ru at (0.000, 0.000, 0.500).

The calculation puts the calculated volume at 17.67 A^3/atom. Its density of states at the Fermi level is 9.86 states/eV per cell. For the formation energy, the calculation gives -0.6 eV/f.u. Its size of the total moment is 0.000 μB/cell.

---

Here is a geometry-optimized Sc2Ga2Ru structure from Alexandria. Energies are from PBE.

It has space group C2/m (No. 12), with a = 10.421 Å, b = 3.339 Å, c = 11.165 Å, α = 90.00°, β = 110.60° and γ = 90.00°. The distinct sites, in fractional coordinates, are Sc at (0.013, 0.000, 0.180), Sc at (0.197, 0.000, 0.617), Ga at (0.035, 0.500, 0.398), Ga at (0.151, 0.500, 0.034) and Ru at (0.195, 0.500, 0.805).

The calculation puts the calculated volume at 18.18 A^3/atom. Its density of states at the Fermi level is 12.01 states/eV per cell. For the formation energy, the calculation gives -2.9 eV/f.u. The value obtained for the energy above the most stable polymorph in this dataset is 0 meV/atom. Its size of the total moment is 0.000 μB/cell.

---

Here is a geometry-optimized ScGa2Ru structure from Alexandria. Energies are from PBE.

It has space group P4/mmm (No. 123), with a = 3.888 Å, b = 3.888 Å, c = 4.234 Å, α = 90.00°, β = 90.00° and γ = 90.00°. The distinct sites, in fractional coordinates, are Sc at (0.000, 0.000, 0.000), Ga at (0.000, 0.500, 0.500) and Ru at (0.500, 0.500, 0.000).

The calculation puts the calculated volume at 16.00 A^3/atom. Its density of states at the Fermi level is 1.94 states/eV per cell. For the formation energy, the calculation gives -1.7 eV/f.u. Its size of the total moment is 0.000 μB/cell.